Entry from the Alexandria database: a relaxed structure of U2MnAl (PBE-GGA).

Results
V, Å³ per cell: 73.95
SG: No. 166
E_form, eV per atom: 0.41

```
U2MnAl
1.0
1.442 0.833 10.264
-1.442 0.833 10.264
0.000 -1.665 10.264
U Mn Al
2 1 1
Direct
0.096 0.096 0.096
0.904 0.904 0.904
0.500 0.500 0.500
0.000 0.000 0.000
```